Entry 1:
The following is a PBE calculation of a geometry-optimized DyTm2Ru9 structure, from Alexandria via LeMat-Bulk.

## Properties
- Total magnetic moment: 1.71 Bohr magnetons per cell
- Crystal system: trigonal
- Total DFT energy (no corrections): -296.77 eV per cell

Cell lengths 5.2479, 5.2479, 26.0537 Å; angles 90.00, 90.00, 120.00 degrees
Closest atoms and distances in Å follow each position.
Space group R-3m (No. 166, hexagonal axes)
Symmetry-distinct sites (fractional):
1 Dy 0.0000 0.0000 0.0000 x3  6 Ru 3.03
2 Tm 0.0000 0.0000 0.1398 x6  12 Ru 3.01-3.23, 3 Tm 3.34
3 Ru 0.0000 0.0000 0.3379 x6  6 Ru 2.58-2.72
4 Ru 0.0000 0.0000 0.5000 x3  6 Ru 2.67
5 Ru 0.0100 0.5050 0.9167 x18  7 Ru 2.55-2.72

=====

Entry 2:
The following is a PBE calculation of a geometry-optimized DyTm2Ru3 structure, from Alexandria via LeMat-Bulk.

## Properties
- Total magnetic moment: 0.00 Bohr magnetons per cell
- Crystal system: tetragonal
- Energy above the lowest structure with this stoichiometry: 0.0000 eV per atom

Cell lengths 3.3752, 3.3752, 10.0562 Å; angles 90.00, 90.00, 90.00 degrees
Closest atoms and distances in Å follow each position.
Space group P4/mmm (No. 123)
Symmetry-distinct sites (fractional):
1 Dy 0.0000 0.0000 0.0000 x1  8 Ru 2.93
2 Tm 0.0000 0.0000 0.3347 x2  8 Ru 2.91
3 Ru 0.5000 0.5000 0.1691 x2  4 Tm 2.91, 4 Dy 2.93
4 Ru 0.5000 0.5000 0.5000 x1  8 Tm 2.91

=====

Entry 3:
The following is a PBE calculation of a geometry-optimized Dy3TmRu structure, from Alexandria via LeMat-Bulk.

## Properties
- Total magnetic moment: 0.00 Bohr magnetons per cell
- Crystal system: cubic
- Energy above the lowest structure with this stoichiometry: 0.1940 eV per atom

Cell lengths 5.3734, 5.3734, 5.3734 Å; angles 90.00, 90.00, 90.00 degrees
Closest atoms and distances in Å follow each position.
Space group Pm-3m (No. 221)
Symmetry-distinct sites (fractional):
1 Dy 0.0000 0.0000 0.5000 x3  2 Ru 2.69
2 Tm 0.5000 0.5000 0.5000 x1  12 Dy 3.80
3 Ru 0.0000 0.0000 0.0000 x1  6 Dy 2.69

=====

Entry 4:
The following is a PBE calculation of a geometry-optimized DyTm2Ru structure, from Alexandria via LeMat-Bulk.

## Properties
- Total magnetic moment: 0.00 Bohr magnetons per cell
- Crystal system: tetragonal
- Energy above the lowest structure with this stoichiometry: 0.0934 eV per atom

Cell lengths 3.3953, 3.3953, 8.7621 Å; angles 90.00, 90.00, 90.00 degrees
Closest atoms and distances in Å follow each position.
Space group P4/mmm (No. 123)
Symmetry-distinct sites (fractional):
1 Dy 0.0000 0.0000 0.0000 x1  4 Dy 3.40, 8 Tm 3.66
2 Tm 0.5000 0.5000 0.3154 x2  4 Ru 2.89, 1 Tm 3.23
3 Ru 0.0000 0.0000 0.5000 x1  8 Tm 2.89

=====

Entry 5:
The following is a PBE calculation of a geometry-optimized Dy3TmRu structure, from Alexandria via LeMat-Bulk.

## Properties
- Total magnetic moment: 0.00 Bohr magnetons per cell
- Crystal system: orthorhombic
- Energy above the lowest structure with this stoichiometry: 0.0606 eV per atom

Cell lengths 9.3701, 7.3260, 8.4830 Å; angles 90.00, 90.00, 90.00 degrees
Closest atoms and distances in Å follow each position.
Space group Ima2 (No. 46)
Symmetry-distinct sites (fractional):
1 Dy 0.0364 0.2495 0.0000 x8  1 Ru 2.68
2 Dy 0.2500 0.5191 0.2493 x4  2 Ru 2.71-2.72
3 Tm 0.2500 0.5207 0.7508 x4  2 Ru 2.70-2.71
4 Ru 0.2500 0.7484 0.5000 x4  4 Dy 2.68-2.72, 2 Tm 2.70-2.71

=====

Entry 6:
The following is a PBE calculation of a geometry-optimized Dy2TmRu3 structure, from Alexandria via LeMat-Bulk.

## Properties
- Total magnetic moment: 0.00 Bohr magnetons per cell
- Crystal system: orthorhombic
- Energy above the lowest structure with this stoichiometry: 0.0038 eV per atom

Cell lengths 4.7745, 14.3438, 3.3941 Å; angles 90.00, 90.00, 90.00 degrees
Closest atoms and distances in Å follow each position.
Space group Cmmm (No. 65)
Symmetry-distinct sites (fractional):
1 Dy 0.0000 0.1659 0.0000 x4  8 Ru 2.92-2.96
2 Tm 0.0000 0.5000 0.0000 x2  8 Ru 2.92-2.93
3 Ru 0.0000 0.0000 0.5000 x2  4 Dy 2.92, 4 Tm 2.93
4 Ru 0.0000 0.3346 0.5000 x4  2 Tm 2.92, 6 Dy 2.93-2.96

=====

Entry 7:
The following is a PBE calculation of a geometry-optimized Dy3TmRu2 structure, from Alexandria via LeMat-Bulk.

## Properties
- Total magnetic moment: 0.00 Bohr magnetons per cell
- Crystal system: orthorhombic
- Energy above the lowest structure with this stoichiometry: 0.1063 eV per atom

Cell lengths 6.6814, 13.4429, 7.0096 Å; angles 90.00, 90.00, 90.00 degrees
Closest atoms and distances in Å follow each position.
Space group Ibam (No. 72)
Symmetry-distinct sites (fractional):
1 Dy 0.0000 0.0000 0.2500 x4  4 Ru 2.92
2 Dy 0.0000 0.2663 0.2500 x8  4 Ru 2.88-2.90
3 Tm 0.0000 0.5000 0.0000 x4  2 Ru 2.59
4 Ru 0.2215 0.1345 0.0000 x8  1 Tm 2.59, 4 Dy 2.88-2.90

=====

Entry 8:
The following is a PBE calculation of a geometry-optimized Dy3TmRu2 structure, from Alexandria via LeMat-Bulk.

## Properties
- Total magnetic moment: 0.00 Bohr magnetons per cell
- Crystal system: orthorhombic
- Energy above the lowest structure with this stoichiometry: 0.0000 eV per atom

Cell lengths 9.5381, 9.5524, 6.3216 Å; angles 90.00, 90.00, 90.00 degrees
Closest atoms and distances in Å follow each position.
Space group Cmcm (No. 63)
Symmetry-distinct sites (fractional):
1 Dy 0.0000 0.0691 0.2500 x4  4 Ru 2.95
2 Dy 0.1820 0.2495 0.7500 x8  4 Ru 2.94
3 Tm 0.0000 0.4332 0.2500 x4  4 Ru 2.91
4 Ru 0.2477 0.5000 0.0000 x8  2 Tm 2.91, 6 Dy 2.94-2.95, 2 Ru 3.16

=====

Entry 9:
The following is a PBE calculation of a geometry-optimized DyTm3Ru2 structure, from Alexandria via LeMat-Bulk.

## Properties
- Total magnetic moment: 0.00 Bohr magnetons per cell
- Crystal system: orthorhombic
- Energy above the lowest structure with this stoichiometry: 0.0000 eV per atom

Cell lengths 4.2677, 8.7626, 7.4382 Å; angles 90.00, 90.00, 90.00 degrees
Closest atoms and distances in Å follow each position.
Space group Pmc2_1 (No. 26)
Symmetry-distinct sites (fractional):
1 Dy 0.0000 0.0831 0.0000 x2  5 Ru 3.00-3.30
2 Tm 0.0000 0.3188 0.6270 x2  4 Ru 2.77-2.94
3 Tm 0.5000 0.1844 0.3322 x2  4 Ru 2.77-2.94
4 Tm 0.5000 0.4171 0.9583 x2  5 Ru 3.00-3.29
5 Ru 0.0000 0.3687 0.2357 x2  6 Tm 2.77-3.00, 1 Dy 3.06
6 Ru 0.5000 0.1335 0.7231 x2  5 Tm 2.77-3.04, 2 Dy 3.00

=====

Entry 10:
The following is a PBE calculation of a geometry-optimized DyTm2Ru structure, from Alexandria via LeMat-Bulk.

## Properties
- Total magnetic moment: 0.00 Bohr magnetons per cell
- Crystal system: orthorhombic
- Energy above the lowest structure with this stoichiometry: 0.0000 eV per atom

Cell lengths 7.2754, 9.0234, 6.2517 Å; angles 90.00, 90.00, 90.00 degrees
Closest atoms and distances in Å follow each position.
Space group Pnma (No. 62)
Symmetry-distinct sites (fractional):
1 Dy 0.0396 0.2500 0.1292 x4  2 Ru 2.72-2.81
2 Tm 0.1762 0.0637 0.6667 x8  3 Ru 2.82-3.15
3 Ru 0.1157 0.7500 0.4590 x4  2 Dy 2.72-2.81, 4 Tm 2.82-2.91

=====

Entry 11:
The following is a PBE calculation of a geometry-optimized Dy2TmRu structure, from Alexandria via LeMat-Bulk.

## Properties
- Total magnetic moment: 0.01 Bohr magnetons per cell
- Crystal system: tetragonal
- Energy above the lowest structure with this stoichiometry: 0.1522 eV per atom

Cell lengths 3.4265, 3.4265, 8.8120 Å; angles 90.00, 90.00, 90.00 degrees
Closest atoms and distances in Å follow each position.
Space group P4/mmm (No. 123)
Symmetry-distinct sites (fractional):
1 Dy 0.0000 0.0000 0.1875 x2  4 Ru 2.93
2 Tm 0.5000 0.5000 0.5000 x1  4 Tm 3.43, 8 Dy 3.67
3 Ru 0.5000 0.5000 0.0000 x1  8 Dy 2.93